No. 1
16
Lattice="5.493 0.000 0.000 -0.655 6.874 0.000 -2.343 -2.952 6.176" Properties=species:S:1:pos:R:3 comment="LiSb3P2O10, optimized geometry, DFT PBE" volume_a3_per_cell=233.20 e_form_raw_mev_per_atom=-1831 pbc="T T T"
Li 0.000 0.000 0.000
Sb -0.139 2.545 5.618
Sb 2.294 -0.791 2.778
Sb 4.583 3.674 1.024
P 0.118 -1.167 5.196
P 2.222 2.636 3.148
O -1.340 -1.492 5.380
O 0.818 5.833 0.958
O 0.418 -0.884 3.684
O 1.283 3.794 2.716
O 1.784 1.336 2.439
O 0.544 0.112 6.020
O 1.092 -2.301 5.717
O 3.504 5.367 1.001
O 2.216 2.480 4.692
O 3.720 2.992 2.742

No. 2
16
Lattice="4.814 -6.422 0.000 4.814 6.422 0.000 -3.826 0.000 9.549" Properties=species:S:1:pos:R:3 comment="KTlFeCl5, optimized geometry, DFT PBE" volume_a3_per_cell=590.47 e_form_raw_mev_per_atom=-1145 pbc="T T T"
K 0.000 0.000 0.000
K -1.913 0.000 4.775
Tl 1.945 2.197 7.162
Tl 3.858 -2.197 2.387
Fe 3.858 2.344 2.387
Fe 1.945 -2.344 7.162
Cl 2.255 3.640 3.215
Cl 1.945 4.934 7.162
Cl 3.110 1.053 0.759
Cl 5.461 3.640 1.560
Cl 1.197 -1.053 5.534
Cl 4.605 1.053 4.016
Cl 0.341 -3.640 7.989
Cl 2.692 -1.053 8.790
Cl 3.858 -4.934 2.387
Cl 3.548 -3.640 6.334

No. 3
12
Lattice="7.477 -3.822 0.000 7.477 3.822 0.000 -1.408 0.000 7.020" Properties=species:S:1:pos:R:3 comment="Rb4SO, optimized geometry, DFT PBE" volume_a3_per_cell=401.31 e_form_raw_mev_per_atom=-880 pbc="T T T"
Rb 5.104 1.631 3.195
Rb 7.477 2.000 0.000
Rb 3.357 0.000 6.230
Rb 8.442 1.631 3.826
Rb 5.104 -1.631 3.195
Rb 10.190 0.000 0.790
Rb 7.477 -2.000 0.000
Rb 8.442 -1.631 3.826
S 2.520 0.000 1.688
S 11.026 0.000 5.333
O 6.069 0.000 5.150
O 7.478 0.000 1.870

No. 4
4
Lattice="3.894 0.000 0.000 0.000 3.894 0.000 0.000 0.000 4.765" Properties=species:S:1:pos:R:3 comment="ZrZn2Se, optimized geometry, DFT PBE" volume_a3_per_cell=72.27 e_form_raw_mev_per_atom=-303 pbc="T T T"
Zr 0.000 0.000 0.000
Zn 0.000 1.947 2.383
Zn 1.947 0.000 2.383
Se 1.947 1.947 0.000

No. 5
7
Lattice="5.220 0.000 0.000 -2.610 4.521 0.000 0.000 0.000 4.727" Properties=species:S:1:pos:R:3 comment="Mg3Rh4, optimized geometry, DFT PBE" volume_a3_per_cell=111.54 formation_enthalpy_0k_ev_per_atom=0.110 pbc="T T T"
Mg -1.305 2.260 0.000
Mg 2.610 0.000 0.000
Mg 1.305 2.260 0.000
Rh 0.000 0.000 1.202
Rh 0.000 0.000 3.525
Rh 0.000 3.014 2.363
Rh 2.610 1.507 2.363

No. 6
10
Lattice="-4.469 4.469 2.825 4.469 -4.469 2.825 4.469 4.469 -2.825" Properties=species:S:1:pos:R:3 comment="Y5P4S, optimized geometry, DFT PBE" volume_a3_per_cell=225.66 e_form_raw_mev_per_atom=-1762 pbc="T T T"
Y 0.000 0.000 0.000
Y 5.377 1.755 0.000
Y 1.755 3.561 0.000
Y 2.714 0.908 2.825
Y -0.908 2.714 2.825
P 2.668 0.899 0.000
P 3.570 -1.801 2.825
P 0.899 6.270 0.000
P 1.801 3.570 2.825
S 0.000 0.000 2.825